Entry 1:
# Ba2SrHgF, relaxed, DFT PBE
data_Ba2SrHgF
_chemical_formula_sum 'Ba2 Sr1 Hg1 F1'
_cell_length_a 6.014
_cell_length_b 6.014
_cell_length_c 4.868
_cell_angle_alpha 90.00
_cell_angle_beta 90.00
_cell_angle_gamma 90.00
_symmetry_space_group_name_H-M 'P 1'
_symmetry_Int_Tables_number 1
loop_
_symmetry_equiv_pos_as_xyz
'x,y,z'
loop_
_atom_site_label
_atom_site_type_symbol
_atom_site_fract_x
_atom_site_fract_y
_atom_site_fract_z
Sr1 Sr 0.000 0.000 0.500
F1 F 0.000 0.000 0.000
Hg1 Hg 0.500 0.500 0.500
Ba1 Ba 0.500 0.000 0.000
Ba2 Ba 0.000 0.500 0.000
# **E**: -13.681 eV per cell
# **Space-group type**: P4/mmm, No. 123
# **D(E_F)**: 3.2 states/eV/f.u.


Entry 2:
# Ni9Sn2Mo, relaxed, DFT PBE
data_Ni9Sn2Mo
_chemical_formula_sum 'Ni9 Sn2 Mo1'
_cell_length_a 3.699
_cell_length_b 3.699
_cell_length_c 11.112
_cell_angle_alpha 90.00
_cell_angle_beta 90.00
_cell_angle_gamma 90.00
_symmetry_space_group_name_H-M 'P 1'
_symmetry_Int_Tables_number 1
loop_
_symmetry_equiv_pos_as_xyz
'x,y,z'
loop_
_atom_site_label
_atom_site_type_symbol
_atom_site_fract_x
_atom_site_fract_y
_atom_site_fract_z
Sn1 Sn 0.000 0.000 0.667
Sn2 Sn 0.000 0.000 0.333
Ni1 Ni 0.500 0.500 0.000
Ni2 Ni 0.500 0.000 0.844
Ni3 Ni 0.500 0.500 0.673
Ni4 Ni 0.000 0.500 0.156
Ni5 Ni 0.000 0.500 0.844
Ni6 Ni 0.000 0.500 0.500
Ni7 Ni 0.500 0.000 0.500
Ni8 Ni 0.500 0.500 0.327
Ni9 Ni 0.500 0.000 0.156
Mo1 Mo 0.000 0.000 0.000
# **Space-group type**: P4/mmm, No. 123
# **E_form**: -0.1276 eV/atom
# **D(E_F)**: 9.3 states/eV/f.u.


Entry 3:
# Cs2Tl2O3, relaxed, DFT PBE
data_Cs2Tl2O3
_chemical_formula_sum 'Cs2 Tl2 O3'
_cell_length_a 4.022
_cell_length_b 6.846
_cell_length_c 7.085
_cell_angle_alpha 106.04
_cell_angle_beta 106.49
_cell_angle_gamma 90.00
_symmetry_space_group_name_H-M 'P 1'
_symmetry_Int_Tables_number 1
loop_
_symmetry_equiv_pos_as_xyz
'x,y,z'
loop_
_atom_site_label
_atom_site_type_symbol
_atom_site_fract_x
_atom_site_fract_y
_atom_site_fract_z
Tl1 Tl 0.857 0.620 0.714
Tl2 Tl 0.143 0.380 0.286
O1 O 0.728 0.306 0.456
O2 O 0.272 0.694 0.544
O3 O 0.000 0.500 0.000
Cs1 Cs 0.618 0.825 0.235
Cs2 Cs 0.382 0.175 0.765
# **E**: -27.458 eV per cell
# **Space-group type**: C2/m, No. 12
# **D(E_F)**: 2.4 states/eV/f.u.


Entry 4:
# Li5Pb3, relaxed, DFT PBE
data_Li5Pb3
_chemical_formula_sum 'Li5 Pb3'
_cell_length_a 4.921
_cell_length_b 4.921
_cell_length_c 7.680
_cell_angle_alpha 108.70
_cell_angle_beta 108.70
_cell_angle_gamma 89.97
_symmetry_space_group_name_H-M 'P 1'
_symmetry_Int_Tables_number 1
loop_
_symmetry_equiv_pos_as_xyz
'x,y,z'
loop_
_atom_site_label
_atom_site_type_symbol
_atom_site_fract_x
_atom_site_fract_y
_atom_site_fract_z
Pb1 Pb 0.753 0.753 0.506
Pb2 Pb 0.247 0.247 0.494
Pb3 Pb 0.500 0.500 0.000
Li1 Li 0.121 0.621 0.242
Li2 Li 0.000 0.000 0.000
Li3 Li 0.621 0.121 0.242
Li4 Li 0.879 0.379 0.758
Li5 Li 0.379 0.879 0.758
# **Space-group type**: I4/mmm, No. 139
# **E_form**: -0.2918 eV/atom
# **Offset from the most stable computed form**: 0.0000 eV per atom
# **D(E_F)**: 2.2 states/eV/f.u.


Entry 5:
# Sc2AgRu, relaxed, DFT PBE
data_Sc2AgRu
_chemical_formula_sum 'Sc4 Ag2 Ru2'
_cell_length_a 7.244
_cell_length_b 7.244
_cell_length_c 5.934
_cell_angle_alpha 52.38
_cell_angle_beta 52.38
_cell_angle_gamma 90.00
_symmetry_space_group_name_H-M 'P 1'
_symmetry_Int_Tables_number 1
loop_
_symmetry_equiv_pos_as_xyz
'x,y,z'
loop_
_atom_site_label
_atom_site_type_symbol
_atom_site_fract_x
_atom_site_fract_y
_atom_site_fract_z
Sc1 Sc 0.595 0.125 0.250
Sc2 Sc 0.155 0.625 0.250
Sc3 Sc 0.375 0.405 0.750
Sc4 Sc 0.875 0.845 0.750
Ru1 Ru 0.500 0.500 0.000
Ru2 Ru 0.250 0.750 0.500
Ag1 Ag 0.000 0.000 0.000
Ag2 Ag 0.750 0.250 0.500
# **Space-group type**: I-42d, No. 122
# **E_form**: -0.0432 eV/atom
# **D(E_F)**: 2.3 states/eV/f.u.


Entry 6:
# MnReCl2, relaxed, DFT PBE
data_MnReCl2
_chemical_formula_sum 'Mn1 Re1 Cl2'
_cell_length_a 9.205
_cell_length_b 9.205
_cell_length_c 9.205
_cell_angle_alpha 19.46
_cell_angle_beta 19.46
_cell_angle_gamma 19.46
_symmetry_space_group_name_H-M 'P 1'
_symmetry_Int_Tables_number 1
loop_
_symmetry_equiv_pos_as_xyz
'x,y,z'
loop_
_atom_site_label
_atom_site_type_symbol
_atom_site_fract_x
_atom_site_fract_y
_atom_site_fract_z
Mn1 Mn 0.505 0.505 0.505
Cl1 Cl 0.975 0.975 0.975
Cl2 Cl 0.778 0.778 0.778
Re1 Re 0.241 0.241 0.241
# **Space-group type**: R3m, No. 160
# **Offset from the most stable computed form**: 0.0350 eV per atom
# **D(E_F)**: 1.6 states/eV/f.u.


Entry 7:
# Rb2CuGe2, relaxed, DFT PBE
data_Rb2CuGe2
_chemical_formula_sum 'Rb4 Cu2 Ge4'
_cell_length_a 6.703
_cell_length_b 6.703
_cell_length_c 5.971
_cell_angle_alpha 90.00
_cell_angle_beta 90.00
_cell_angle_gamma 90.00
_symmetry_space_group_name_H-M 'P 1'
_symmetry_Int_Tables_number 1
loop_
_symmetry_equiv_pos_as_xyz
'x,y,z'
loop_
_atom_site_label
_atom_site_type_symbol
_atom_site_fract_x
_atom_site_fract_y
_atom_site_fract_z
Rb1 Rb 0.681 0.819 0.500
Rb2 Rb 0.181 0.681 0.500
Rb3 Rb 0.819 0.319 0.500
Rb4 Rb 0.319 0.181 0.500
Cu1 Cu 0.500 0.500 0.000
Cu2 Cu 0.000 0.000 0.000
Ge1 Ge 0.636 0.136 0.000
Ge2 Ge 0.364 0.864 0.000
Ge3 Ge 0.864 0.636 0.000
Ge4 Ge 0.136 0.364 0.000
# **Space-group type**: P4/mbm, No. 127
# **E_form**: 0.1978 eV/atom
# **D(E_F)**: 3.2 states/eV/f.u.


Entry 8:
# K2PtNF, relaxed, DFT PBE
data_K2PtNF
_chemical_formula_sum 'K2 Pt1 N1 F1'
_cell_length_a 5.672
_cell_length_b 3.689
_cell_length_c 5.672
_cell_angle_alpha 90.00
_cell_angle_beta 90.00
_cell_angle_gamma 90.00
_symmetry_space_group_name_H-M 'P 1'
_symmetry_Int_Tables_number 1
loop_
_symmetry_equiv_pos_as_xyz
'x,y,z'
loop_
_atom_site_label
_atom_site_type_symbol
_atom_site_fract_x
_atom_site_fract_y
_atom_site_fract_z
N1 N 0.000 0.000 0.000
Pt1 Pt 0.000 0.500 0.000
F1 F 0.500 0.500 0.500
K1 K 0.000 0.000 0.500
K2 K 0.500 0.000 0.000
# **E**: -23.257 eV per cell
# **Space-group type**: P4/mmm, No. 123
# **D(E_F)**: 0.7 states/eV/f.u.


Entry 9:
# Mg2Ga6Cu, relaxed, DFT PBE
data_Mg2Ga6Cu
_chemical_formula_sum 'Mg2 Ga6 Cu1'
_cell_length_a 5.887
_cell_length_b 5.835
_cell_length_c 5.600
_cell_angle_alpha 85.05
_cell_angle_beta 90.00
_cell_angle_gamma 120.29
_symmetry_space_group_name_H-M 'P 1'
_symmetry_Int_Tables_number 1
loop_
_symmetry_equiv_pos_as_xyz
'x,y,z'
loop_
_atom_site_label
_atom_site_type_symbol
_atom_site_fract_x
_atom_site_fract_y
_atom_site_fract_z
Ga1 Ga 0.831 0.663 0.694
Ga2 Ga 0.183 0.823 0.320
Ga3 Ga 0.640 0.823 0.320
Ga4 Ga 0.169 0.337 0.306
Ga5 Ga 0.817 0.177 0.680
Ga6 Ga 0.360 0.177 0.680
Mg1 Mg 0.676 0.353 0.158
Mg2 Mg 0.324 0.647 0.842
Cu1 Cu 0.000 0.000 0.000
# **Space-group type**: C2/m, No. 12
# **E_form**: -0.0681 eV/atom
# **Offset from the most stable computed form**: 0.0000 eV per atom
# **D(E_F)**: 2.1 states/eV/f.u.


Entry 10:
# Rb2BaNa, relaxed, DFT PBE
data_Rb2BaNa
_chemical_formula_sum 'Rb2 Ba1 Na1'
_cell_length_a 7.171
_cell_length_b 6.148
_cell_length_c 6.148
_cell_angle_alpha 90.00
_cell_angle_beta 90.00
_cell_angle_gamma 90.00
_symmetry_space_group_name_H-M 'P 1'
_symmetry_Int_Tables_number 1
loop_
_symmetry_equiv_pos_as_xyz
'x,y,z'
loop_
_atom_site_label
_atom_site_type_symbol
_atom_site_fract_x
_atom_site_fract_y
_atom_site_fract_z
Ba1 Ba 0.500 0.500 0.500
Na1 Na 0.500 0.000 0.000
Rb1 Rb 0.000 0.500 0.000
Rb2 Rb 0.000 0.000 0.500
# **Space-group type**: P4/mmm, No. 123
# **E_form**: 0.1207 eV/atom
# **Offset from the most stable computed form**: 0.0159 eV per atom
# **D(E_F)**: 4.1 states/eV/f.u.


Entry 11:
# NiPS2I, relaxed, DFT PBE
data_NiPS2I
_chemical_formula_sum 'Ni1 P1 S2 I1'
_cell_length_a 5.010
_cell_length_b 5.010
_cell_length_c 5.210
_cell_angle_alpha 90.00
_cell_angle_beta 90.00
_cell_angle_gamma 90.00
_symmetry_space_group_name_H-M 'P 1'
_symmetry_Int_Tables_number 1
loop_
_symmetry_equiv_pos_as_xyz
'x,y,z'
loop_
_atom_site_label
_atom_site_type_symbol
_atom_site_fract_x
_atom_site_fract_y
_atom_site_fract_z
P1 P 0.000 0.000 0.500
Ni1 Ni 0.500 0.500 0.500
S1 S 0.000 0.500 0.000
S2 S 0.500 0.000 0.000
I1 I 0.000 0.000 0.000
# **Space-group type**: P4/mmm, No. 123
# **Offset from the most stable computed form**: 1.0968 eV per atom
# **D(E_F)**: 13.0 states/eV/f.u.


Entry 12:
# Dy3Tl2Se, relaxed, DFT PBE
data_Dy3Tl2Se
_chemical_formula_sum 'Dy6 Tl4 Se2'
_cell_length_a 3.838
_cell_length_b 3.838
_cell_length_c 26.160
_cell_angle_alpha 90.00
_cell_angle_beta 90.00
_cell_angle_gamma 120.00
_symmetry_space_group_name_H-M 'P 1'
_symmetry_Int_Tables_number 1
loop_
_symmetry_equiv_pos_as_xyz
'x,y,z'
loop_
_atom_site_label
_atom_site_type_symbol
_atom_site_fract_x
_atom_site_fract_y
_atom_site_fract_z
Tl1 Tl 0.667 0.333 0.089
Tl2 Tl 0.667 0.333 0.411
Tl3 Tl 0.333 0.667 0.911
Tl4 Tl 0.333 0.667 0.589
Dy1 Dy 0.667 0.333 0.677
Dy2 Dy 0.667 0.333 0.823
Dy3 Dy 0.000 0.000 0.000
Dy4 Dy 0.333 0.667 0.177
Dy5 Dy 0.333 0.667 0.323
Dy6 Dy 0.000 0.000 0.500
Se1 Se 0.000 0.000 0.250
Se2 Se 0.000 0.000 0.750
# **E**: -53.051 eV per cell
# **Space-group type**: P6_3/mmc, No. 194
# **D(E_F)**: 3.4 states/eV/f.u.


Number 1: calculated density 5.488 g cm⁻³. Number 2: calculated density 9.411 g cm⁻³. Number 3: calculated density 6.698 g cm⁻³. Number 4: calculated density 6.574 g cm⁻³. Number 5: calculated density 6.315 g cm⁻³. Number 6: calculated density 6.845 g cm⁻³. Number 7: calculated density 4.700 g cm⁻³. Number 8: calculated density 4.285 g cm⁻³. Number 9: calculated density 5.331 g cm⁻³. Number 10: calculated density 2.029 g cm⁻³. Number 11: calculated density 3.564 g cm⁻³. Number 12: calculated density 9.704 g cm⁻³.